# PBE ErH3, relaxed
data_ErH3
_chemical_formula_sum 'Er1 H3'
_symmetry_space_group_name_H-M 'P 1'
_symmetry_Int_Tables_number 1
_symmetry_space_group_name_Hall 'P 1'
_cell_length_a 3.2497
_cell_length_b 3.2498
_cell_length_c 3.2496
_cell_angle_alpha 90.00
_cell_angle_beta 90.00
_cell_angle_gamma 90.00
loop_
_atom_site_label
_atom_site_fract_x
_atom_site_fract_y
_atom_site_fract_z
Er1 0.0000 0.0000 0.0833
H1 0.0000 0.5000 0.5833
H2 0.5000 0.5000 0.0831
H3 0.5000 0.0000 0.5837
# D(E_F) ... 0.06 states/eV/f.u.
# Space-group type ... Pm-3m, No. 221
# Excess energy over the best structure of this formula in the dataset ... 210 meV per atom